[1]
# Ho12Ge5S28 PBE optimized geometry
data_Ho12Ge5S28
_chemical_formula_sum 'Ho12 Ge5 S28'
_cell_length_a 9.742
_cell_length_b 11.363
_cell_length_c 11.382
_cell_angle_alpha 62.18
_cell_angle_beta 64.66
_cell_angle_gamma 64.64
_symmetry_space_group_name_H-M 'P 1'
_symmetry_Int_Tables_number 1
loop_
_symmetry_equiv_pos_as_xyz
'x,y,z'
loop_
_atom_site_label
_atom_site_fract_x
_atom_site_fract_y
_atom_site_fract_z
Ho1 0.000 0.000 0.000
Ho2 0.002 0.467 0.514
Ho3 0.070 0.704 0.712
Ho4 0.080 0.192 0.229
Ho5 0.353 0.652 0.212
Ho6 0.355 0.173 0.670
Ho7 0.432 0.894 0.387
Ho8 0.443 0.349 0.916
Ho9 0.562 0.230 0.270
Ho10 0.584 0.740 0.745
Ho11 0.852 0.610 0.169
Ho12 0.866 0.134 0.632
Ge1 0.219 0.640 0.993
Ge2 0.549 0.510 0.466
Ge3 0.553 0.000 0.953
Ge4 0.883 0.429 0.873
Ge5 0.884 0.927 0.370
S1 0.062 0.162 0.729
S2 0.066 0.652 0.232
S3 0.114 0.955 0.526
S4 0.117 0.452 0.030
S5 0.122 0.438 0.721
S6 0.124 0.935 0.217
S7 0.312 0.151 0.943
S8 0.313 0.671 0.460
S9 0.317 0.822 0.948
S10 0.318 0.368 0.427
S11 0.354 0.633 0.765
S12 0.378 0.157 0.208
S13 0.466 0.479 0.058
S14 0.474 0.979 0.548
S15 0.547 0.320 0.651
S16 0.553 0.815 0.146
S17 0.637 0.469 0.266
S18 0.647 0.967 0.751
S19 0.687 0.643 0.433
S20 0.710 0.121 0.913
S21 0.735 0.460 0.750
S22 0.742 0.964 0.239
S23 0.789 0.631 0.909
S24 0.790 0.126 0.411
S25 0.877 0.246 0.067
S26 0.891 0.733 0.553
S27 0.952 0.340 0.398
S28 0.983 0.803 0.931
# ΔE_f (raw)	-66.1	eV per formula unit
# total DFT energy (no corrections)	-5.772	eV per atom



[2]
# Ce2Y3ErTe6 PBE optimized geometry
data_Ce2Y3ErTe6
_chemical_formula_sum 'Ce2 Y3 Er1 Te6'
_cell_length_a 9.858
_cell_length_b 9.858
_cell_length_c 8.875
_cell_angle_alpha 103.60
_cell_angle_beta 103.60
_cell_angle_gamma 25.59
_symmetry_space_group_name_H-M 'P 1'
_symmetry_Int_Tables_number 1
loop_
_symmetry_equiv_pos_as_xyz
'x,y,z'
loop_
_atom_site_label
_atom_site_fract_x
_atom_site_fract_y
_atom_site_fract_z
Ce1 0.168 0.168 0.337
Ce2 0.832 0.832 0.663
Y1 0.170 0.170 0.834
Y2 0.500 0.500 0.500
Y3 0.830 0.830 0.166
Er1 0.500 0.500 0.000
Te1 0.003 0.003 0.755
Te2 0.336 0.336 0.924
Te3 0.337 0.337 0.410
Te4 0.663 0.663 0.590
Te5 0.664 0.664 0.076
Te6 0.997 0.997 0.245
# density of states at the Fermi level	17.41	states/eV/f.u.
# ΔE_f (raw)	-15.8	eV per formula unit
# total DFT energy (no corrections)	-5.876	eV per atom



[3]
# KRb2Na4 PBE optimized geometry
data_KRb2Na4
_chemical_formula_sum 'K2 Rb4 Na8'
_cell_length_a 6.694
_cell_length_b 6.694
_cell_length_c 21.346
_cell_angle_alpha 90.00
_cell_angle_beta 90.00
_cell_angle_gamma 90.00
_symmetry_space_group_name_H-M 'P 1'
_symmetry_Int_Tables_number 1
loop_
_symmetry_equiv_pos_as_xyz
'x,y,z'
loop_
_atom_site_label
_atom_site_fract_x
_atom_site_fract_y
_atom_site_fract_z
K1 0.000 0.000 0.000
K2 0.500 0.500 0.500
Rb1 0.000 0.000 0.368
Rb2 0.000 0.000 0.632
Rb3 0.500 0.500 0.132
Rb4 0.500 0.500 0.868
Na1 0.000 0.000 0.176
Na2 0.000 0.000 0.824
Na3 0.000 0.500 0.000
Na4 0.000 0.500 0.500
Na5 0.500 0.000 0.000
Na6 0.500 0.000 0.500
Na7 0.500 0.500 0.324
Na8 0.500 0.500 0.676
# density of states at the Fermi level	4.34	states/eV/f.u.
# DFT formation energy	4.66	kcal/mol of atoms
# polymorph energy (0 for the lowest one)	1.20	eV/f.u.
# total DFT energy (no corrections)	-0.985	eV per atom



[4]
# SmSbPt PBE optimized geometry
data_SmSbPt
_chemical_formula_sum 'Sm4 Sb4 Pt4'
_cell_length_a 6.955
_cell_length_b 6.955
_cell_length_c 6.955
_cell_angle_alpha 90.00
_cell_angle_beta 90.00
_cell_angle_gamma 90.00
_symmetry_space_group_name_H-M 'P 1'
_symmetry_Int_Tables_number 1
loop_
_symmetry_equiv_pos_as_xyz
'x,y,z'
loop_
_atom_site_label
_atom_site_fract_x
_atom_site_fract_y
_atom_site_fract_z
Sm1 0.000 0.000 0.000
Sm2 0.000 0.500 0.500
Sm3 0.500 0.000 0.500
Sm4 0.500 0.500 0.000
Sb1 0.250 0.250 0.250
Sb2 0.250 0.750 0.750
Sb3 0.750 0.250 0.750
Sb4 0.750 0.750 0.250
Pt1 0.250 0.250 0.750
Pt2 0.250 0.750 0.250
Pt3 0.750 0.250 0.250
Pt4 0.750 0.750 0.750
# density of states at the Fermi level	2.22	states/eV/f.u.
# ΔE_f (raw)	-1.2	eV per formula unit
# total DFT energy (no corrections)	-5.358	eV per atom



[5]
# CoReIr6 PBE optimized geometry
data_CoReIr6
_chemical_formula_sum 'Co1 Re1 Ir6'
_cell_length_a 3.844
_cell_length_b 3.844
_cell_length_c 7.676
_cell_angle_alpha 90.00
_cell_angle_beta 90.00
_cell_angle_gamma 90.00
_symmetry_space_group_name_H-M 'P 1'
_symmetry_Int_Tables_number 1
loop_
_symmetry_equiv_pos_as_xyz
'x,y,z'
loop_
_atom_site_label
_atom_site_fract_x
_atom_site_fract_y
_atom_site_fract_z
Co1 0.000 0.000 0.000
Re1 0.000 0.000 0.500
Ir1 0.000 0.500 0.250
Ir2 0.000 0.500 0.750
Ir3 0.500 0.000 0.250
Ir4 0.500 0.000 0.750
Ir5 0.500 0.500 0.000
Ir6 0.500 0.500 0.500
# density of states at the Fermi level	9.63	states/eV/f.u.
# DFT formation energy	-1.45	kcal/mol of atoms
# total DFT energy (no corrections)	-9.153	eV per atom



[6]
# TaCu2B PBE optimized geometry
data_TaCu2B
_chemical_formula_sum 'Ta4 Cu8 B4'
_cell_length_a 3.307
_cell_length_b 3.307
_cell_length_c 18.806
_cell_angle_alpha 90.00
_cell_angle_beta 90.00
_cell_angle_gamma 90.00
_symmetry_space_group_name_H-M 'P 1'
_symmetry_Int_Tables_number 1
loop_
_symmetry_equiv_pos_as_xyz
'x,y,z'
loop_
_atom_site_label
_atom_site_fract_x
_atom_site_fract_y
_atom_site_fract_z
Ta1 0.000 0.000 0.000
Ta2 0.000 0.500 0.250
Ta3 0.500 0.000 0.750
Ta4 0.500 0.500 0.500
Cu1 0.240 0.250 0.625
Cu2 0.250 0.740 0.875
Cu3 0.250 0.760 0.375
Cu4 0.260 0.250 0.125
Cu5 0.740 0.750 0.125
Cu6 0.750 0.240 0.375
Cu7 0.750 0.260 0.875
Cu8 0.760 0.750 0.625
B1 0.000 0.000 0.500
B2 0.000 0.500 0.750
B3 0.500 0.000 0.250
B4 0.500 0.500 0.000
# density of states at the Fermi level	1.79	states/eV/f.u.
# DFT formation energy	6.41	kcal/mol of atoms
# total DFT energy (no corrections)	-6.403	eV per atom



[7]
# Rb2TlP2Se6 PBE optimized geometry
data_Rb2TlP2Se6
_chemical_formula_sum 'Rb2 Tl1 P2 Se6'
_cell_length_a 7.488
_cell_length_b 7.488
_cell_length_c 9.067
_cell_angle_alpha 117.51
_cell_angle_beta 117.51
_cell_angle_gamma 58.08
_symmetry_space_group_name_H-M 'P 1'
_symmetry_Int_Tables_number 1
loop_
_symmetry_equiv_pos_as_xyz
'x,y,z'
loop_
_atom_site_label
_atom_site_fract_x
_atom_site_fract_y
_atom_site_fract_z
Rb1 0.219 0.219 0.243
Rb2 0.781 0.781 0.757
Tl1 0.000 0.000 0.500
P1 0.481 0.481 0.860
P2 0.519 0.519 0.140
Se1 0.181 0.679 0.158
Se2 0.286 0.286 0.679
Se3 0.321 0.819 0.842
Se4 0.679 0.181 0.158
Se5 0.714 0.714 0.321
Se6 0.819 0.321 0.842
# density of states at the Fermi level	8.64	states/eV/f.u.
# ΔE_f (raw)	-5.4	eV per formula unit
# total DFT energy (no corrections)	-3.769	eV per atom



[8]
# Er3Mo2C4 PBE optimized geometry
data_Er3Mo2C4
_chemical_formula_sum 'Er3 Mo2 C4'
_cell_length_a 5.679
_cell_length_b 5.679
_cell_length_c 7.507
_cell_angle_alpha 101.70
_cell_angle_beta 101.70
_cell_angle_gamma 32.88
_symmetry_space_group_name_H-M 'P 1'
_symmetry_Int_Tables_number 1
loop_
_symmetry_equiv_pos_as_xyz
'x,y,z'
loop_
_atom_site_label
_atom_site_fract_x
_atom_site_fract_y
_atom_site_fract_z
Er1 0.000 0.000 0.000
Er2 0.401 0.401 0.613
Er3 0.599 0.599 0.387
Mo1 0.303 0.303 0.166
Mo2 0.697 0.697 0.834
C1 0.069 0.069 0.701
C2 0.335 0.335 0.902
C3 0.665 0.665 0.098
C4 0.931 0.931 0.299
# density of states at the Fermi level	3.50	states/eV/f.u.
# DFT formation energy	-4.50	kcal/mol of atoms
# total DFT energy (no corrections)	-8.223	eV per atom



[9]
# Ba2CaHg10 PBE optimized geometry
data_Ba2CaHg10
_chemical_formula_sum 'Ba4 Ca2 Hg20'
_cell_length_a 11.477
_cell_length_b 13.488
_cell_length_c 5.984
_cell_angle_alpha 90.00
_cell_angle_beta 90.00
_cell_angle_gamma 90.00
_symmetry_space_group_name_H-M 'P 1'
_symmetry_Int_Tables_number 1
loop_
_symmetry_equiv_pos_as_xyz
'x,y,z'
loop_
_atom_site_label
_atom_site_fract_x
_atom_site_fract_y
_atom_site_fract_z
Ba1 0.132 0.165 0.000
Ba2 0.368 0.665 0.000
Ba3 0.632 0.335 0.000
Ba4 0.868 0.835 0.000
Ca1 0.000 0.500 0.500
Ca2 0.500 0.000 0.500
Hg1 0.028 0.889 0.500
Hg2 0.093 0.693 0.247
Hg3 0.093 0.693 0.753
Hg4 0.189 0.319 0.500
Hg5 0.229 0.034 0.500
Hg6 0.271 0.534 0.500
Hg7 0.311 0.819 0.500
Hg8 0.407 0.193 0.247
Hg9 0.407 0.193 0.753
Hg10 0.472 0.389 0.500
Hg11 0.528 0.611 0.500
Hg12 0.593 0.807 0.247
Hg13 0.593 0.807 0.753
Hg14 0.689 0.181 0.500
Hg15 0.729 0.466 0.500
Hg16 0.771 0.966 0.500
Hg17 0.811 0.681 0.500
Hg18 0.907 0.307 0.247
Hg19 0.907 0.307 0.753
Hg20 0.972 0.111 0.500
# density of states at the Fermi level	8.50	states/eV/f.u.
# DFT formation energy	-5.03	kcal/mol of atoms
# total DFT energy (no corrections)	-0.900	eV per atom